1.
Computed, not measured: a relaxed structure of Na2LaGa9 at the PBE level of DFT.

Magnetization in μB per cell: 0.0
Uncorrected energy in eV for the cell shown: -37.41
DOS(E_F) in states/eV per atom: 0.511
Symmetry: R-3m (166)

Unit cell a=9.564 b=9.564 c=9.564 alpha=34.41 beta=34.41 gamma=34.41
Sites, in units of the cell vectors:
Na (0.143, 0.143, 0.143)
Na (0.857, 0.857, 0.857)
La (0.000, 0.000, 0.000)
Ga (0.074, 0.589, 0.589)
Ga (0.337, 0.337, 0.337)
Ga (0.411, 0.411, 0.926)
Ga (0.411, 0.926, 0.411)
Ga (0.500, 0.500, 0.500)
Ga (0.589, 0.074, 0.589)
Ga (0.589, 0.589, 0.074)
Ga (0.663, 0.663, 0.663)
Ga (0.926, 0.411, 0.411)

2.
Computed, not measured: a relaxed structure of NaLaGa4 at the PBE level of DFT.

Magnetization in μB per cell: 0.0
Uncorrected energy in eV for the cell shown: -20.47
DOS(E_F) in states/eV per atom: 0.406
Symmetry: F-43m (216)

Unit cell a=5.659 b=5.659 c=5.659 alpha=60.00 beta=60.00 gamma=60.00
Sites, in units of the cell vectors:
Na (0.000, 0.000, 0.000)
La (0.750, 0.750, 0.750)
Ga (0.375, 0.375, 0.375)
Ga (0.375, 0.375, 0.874)
Ga (0.375, 0.874, 0.375)
Ga (0.874, 0.375, 0.375)

3.
Computed, not measured: a relaxed structure of NaLaNdGa at the PBE level of DFT.

Magnetization in μB per cell: 0.0
Uncorrected energy in eV for the cell shown: -58.67
DOS(E_F) in states/eV per atom: 1.291
Symmetry: F-43m (216)

Unit cell a=7.689 b=7.689 c=7.689 alpha=90.00 beta=90.00 gamma=90.00
Sites, in units of the cell vectors:
Na (0.000, 0.000, 0.000)
Na (0.000, 0.500, 0.500)
Na (0.500, 0.000, 0.500)
Na (0.500, 0.500, 0.000)
La (0.250, 0.250, 0.750)
La (0.250, 0.750, 0.250)
La (0.750, 0.250, 0.250)
La (0.750, 0.750, 0.750)
Nd (0.250, 0.250, 0.250)
Nd (0.250, 0.750, 0.750)
Nd (0.750, 0.250, 0.750)
Nd (0.750, 0.750, 0.250)
Ga (0.000, 0.000, 0.500)
Ga (0.000, 0.500, 0.000)
Ga (0.500, 0.000, 0.000)
Ga (0.500, 0.500, 0.500)